Entry 1:
A relaxed ZnHSN2 crystal, computed with GGA-PBE.

Calculated values
Polymorph energy (0 for the lowest one): 0.0 kJ per mole of atoms
Mass density: 4.43 g/cm3

Geometry as POSCAR:
```
ZnHSN2
1.0
3.925 0.000 0.000
0.000 3.925 0.000
0.000 0.000 3.076
Zn H S N
1 1 1 2
Direct
0.000 0.000 0.000
0.500 0.500 0.500
0.500 0.500 0.000
0.000 0.500 0.500
0.500 0.000 0.500
```

=====

Entry 2:
A relaxed ZnCu2Mo crystal, computed with GGA-PBE.

Calculated values
ΔE_f: 168 meV/atom
Mass density: 8.84 g/cm3

Geometry as POSCAR:
```
ZnCu2Mo
1.0
2.548 0.000 0.000
0.000 4.126 0.000
-1.242 0.000 5.155
Zn Cu Mo
1 2 1
Direct
0.000 0.000 0.000
0.610 0.500 0.210
0.737 0.000 0.479
0.343 0.500 0.694
```

=====

Entry 3:
A relaxed Ho3PdPt2 crystal, computed with GGA-PBE.

Calculated values
ΔE_f: -1142 meV/atom
Mass density: 12.99 g/cm3

Geometry as POSCAR:
```
Ho3PdPt2
1.0
2.468 -7.387 0.000
2.468 7.387 0.000
0.000 0.000 3.476
Ho Pd Pt
3 1 2
Direct
0.000 0.000 0.000
0.331 0.669 0.000
0.669 0.331 0.000
0.500 0.500 0.500
0.164 0.836 0.500
0.836 0.164 0.500
```